# 1
Entry from Alexandria via LeMat-Bulk: Ni3OF after structural relaxation (GGA+U).

The crystal system is cubic. Its offset from the most stable computed form is 0.000 eV/atom. The space group is No. 221.

a = 3.921 Å, b = 3.921 Å, c = 3.921 Å
α = 90.00°, β = 90.00°, γ = 90.00°
Fractional coordinates of all 5 atoms:
1 Ni 0.000 0.500 0.000
2 Ni 0.000 0.000 0.500
3 Ni 0.500 0.000 0.000
4 O 0.000 0.000 0.000
5 F 0.500 0.500 0.500

***

# 2
Entry from Alexandria via LeMat-Bulk: Ni6OF11 after structural relaxation (GGA+U).

The crystal system is orthorhombic. The energy comes out at -4.2800 eV per atom. The space group is No. 38.

a = 4.700 Å, b = 4.700 Å, c = 9.314 Å
α = 90.00°, β = 90.00°, γ = 90.56°
Fractional coordinates of all 18 atoms:
1 Ni 0.002 0.002 0.500
2 Ni 0.004 0.004 0.163
3 Ni 0.004 0.004 0.837
4 Ni 0.487 0.487 0.000
5 Ni 0.502 0.502 0.667
6 Ni 0.502 0.502 0.333
7 O 0.192 0.192 0.000
8 F 0.198 0.198 0.667
9 F 0.198 0.198 0.333
10 F 0.302 0.695 0.833
11 F 0.302 0.695 0.167
12 F 0.307 0.699 0.500
13 F 0.695 0.302 0.833
14 F 0.695 0.302 0.167
15 F 0.699 0.307 0.500
16 F 0.807 0.807 0.669
17 F 0.795 0.795 0.000
18 F 0.807 0.807 0.331

***

# 3
Entry from Alexandria via LeMat-Bulk: Ni6OF11 after structural relaxation (GGA+U).

The crystal system is monoclinic. The energy comes out at -4.2798 eV per atom. The space group is No. 5.

a = 5.633 Å, b = 5.633 Å, c = 7.367 Å
α = 72.21°, β = 72.21°, γ = 71.90°
Fractional coordinates of all 18 atoms:
1 Ni 0.667 0.658 0.838
2 Ni 0.669 0.666 0.334
3 Ni 0.334 0.331 0.666
4 Ni 0.342 0.333 0.162
5 Ni 0.001 0.999 0.500
6 Ni 0.989 0.011 0.000
7 O 0.694 0.306 0.000
8 F 0.638 0.025 0.670
9 F 0.975 0.362 0.330
10 F 0.899 0.900 0.298
11 F 0.566 0.563 0.631
12 F 0.232 0.234 0.963
13 F 0.100 0.101 0.702
14 F 0.766 0.768 0.037
15 F 0.437 0.434 0.369
16 F 0.365 0.970 0.334
17 F 0.030 0.635 0.666
18 F 0.296 0.704 0.000

***

Repeat the first record exactly.
Entry from Alexandria via LeMat-Bulk: Ni3OF after structural relaxation (GGA+U).

The crystal system is cubic. Its offset from the most stable computed form is 0.000 eV/atom. The space group is No. 221.

a = 3.921 Å, b = 3.921 Å, c = 3.921 Å
α = 90.00°, β = 90.00°, γ = 90.00°
Fractional coordinates of all 5 atoms:
1 Ni 0.000 0.500 0.000
2 Ni 0.000 0.000 0.500
3 Ni 0.500 0.000 0.000
4 O 0.000 0.000 0.000
5 F 0.500 0.500 0.500